[1]
VASP calculation (GGA-PBE) on an optimized crystal structure of Rb3Cd3Sn8.

abc: 4.906 12.839 14.096
angles: 90.00 90.00 90.00
Space group Immm (No. 71)
One atom of each set of equivalent atoms:
Rb1 0.000 0.000 0.000 [2 per cell]
Rb2 0.000 0.000 0.265 [4 per cell]
Cd1 0.000 0.129 0.500 [4 per cell]
Cd2 0.000 0.500 0.000 [2 per cell]
Sn1 0.000 0.302 0.153 [8 per cell]
Sn2 0.000 0.331 0.379 [8 per cell]

Output
Spin magnetization   0.0 μB per formula unit
N(E_F)   8.785 states/eV/cell
Formation energy   -1.67 eV/f.u.
E   -2.810 eV/atom



[2]
VASP calculation (GGA-PBE) on an optimized crystal structure of Mn2As2Pb.

abc: 3.798 3.798 11.516
angles: 90.00 90.00 90.00
Space group I4/mmm (No. 139)
One atom of each set of equivalent atoms:
Mn1 0.000 0.000 0.119 [4 per cell]
As1 0.000 0.500 0.250 [4 per cell]
Pb1 0.000 0.000 0.500 [2 per cell]

Output
Spin magnetization   0.0 μB per formula unit
N(E_F)   5.258 states/eV/cell
Energy above the lowest structure with this stoichiometry   0.288 eV per atom
Formation energy   1.52 eV/f.u.
E   -5.964 eV/atom